Record 1
Hf4NiGe | the Alexandria database | GGA-PBE | relaxed; energy relative to the elements = -2.744 eV/f.u.; SG = I422, No. 97; DOS(E_F) = 1.231 states/eV/atom; magnetic moment = 0.0 μB per cell
1.0
-3.703 -3.695 -0.970
2.609 0.022 4.637
-2.679 4.597 -0.031
Hf Ni Ge
4 1 1
Direct
0.591 0.091 0.182
0.909 0.409 0.818
0.091 0.909 0.500
0.409 0.591 0.500
0.500 0.500 0.000
0.000 0.000 0.000

Record 2
HfNi6Ge | the Alexandria database | GGA-PBE | relaxed; energy relative to the elements = 0.599 eV/f.u.; SG = R-3m, No. 166; DOS(E_F) = 0.884 states/eV/atom; magnetic moment = 0.0 μB per cell
1.0
4.864 0.000 0.000
2.432 4.213 0.000
2.432 1.404 6.058
Hf Ni Ge
1 6 1
Direct
0.500 0.500 0.500
0.930 0.930 0.699
0.442 0.930 0.699
0.070 0.558 0.301
0.558 0.070 0.301
0.070 0.070 0.301
0.930 0.442 0.699
0.000 0.000 0.000

Record 3
Hf8Ni2Ge | the Alexandria database | GGA-PBE | relaxed; energy relative to the elements = -1.486 eV/f.u.; SG = C2/m, No. 12; DOS(E_F) = 1.012 states/eV/atom; magnetic moment = 0.0 μB per cell
1.0
4.745 -0.107 -0.161
-0.940 7.222 -0.255
-0.940 -3.017 6.567
Hf Ni Ge
8 2 1
Direct
0.914 0.920 0.680
0.914 0.680 0.920
0.313 0.611 0.611
0.500 0.761 0.239
0.500 0.239 0.761
0.687 0.389 0.389
0.086 0.320 0.080
0.086 0.080 0.320
0.000 0.311 0.689
0.000 0.689 0.311
0.500 0.000 0.000

Record 4
Hf4NiGe | the Alexandria database | GGA-PBE | relaxed; energy relative to the elements = 0.674 eV/f.u.; SG = I4_1md, No. 109; DOS(E_F) = 1.308 states/eV/atom; magnetic moment = 0.0 μB per cell
1.0
-6.269 3.329 0.059
0.061 -6.108 -3.615
1.582 -1.563 6.741
Hf Ni Ge
8 2 2
Direct
0.236 0.949 0.713
0.765 0.456 0.692
0.699 0.486 0.213
0.206 0.015 0.192
0.273 0.486 0.787
0.823 0.015 0.808
0.765 0.073 0.308
0.236 0.523 0.287
0.260 0.260 0.000
0.010 0.510 0.500
0.739 0.739 0.000
0.489 0.989 0.500

Record 5
Hf2NiGe2 | the Alexandria database | GGA-PBE | relaxed; energy relative to the elements = -2.955 eV/f.u.; SG = P4/mbm, No. 127; DOS(E_F) = 0.547 states/eV/atom; magnetic moment = 0.0 μB per cell
1.0
-1.182 6.268 -0.431
-2.339 -0.032 5.950
3.752 0.810 1.480
Ni Ge Hf
2 4 4
Direct
0.000 0.000 0.000
0.500 0.500 0.000
0.362 0.862 0.000
0.862 0.638 0.000
0.638 0.138 0.000
0.138 0.362 0.000
0.172 0.672 0.500
0.672 0.828 0.500
0.828 0.328 0.500
0.328 0.172 0.500

Record 6
HfNi14Ge | the Alexandria database | GGA-PBE | relaxed; energy relative to the elements = -2.252 eV/f.u.; SG = P4/mmm, No. 123; DOS(E_F) = 1.674 states/eV/atom; magnetic moment = 4.9 μB per cell
1.0
5.091 -0.011 0.000
0.011 5.091 0.000
0.000 0.000 7.135
Hf Ni Ge
1 14 1
Direct
0.875 0.875 0.500
0.875 0.875 0.000
0.375 0.375 0.000
0.875 0.375 0.500
0.875 0.375 0.000
0.375 0.875 0.500
0.375 0.875 0.000
0.621 0.129 0.240
0.621 0.129 0.760
0.129 0.621 0.240
0.129 0.621 0.760
0.621 0.621 0.240
0.621 0.621 0.760
0.129 0.129 0.240
0.129 0.129 0.760
0.375 0.375 0.500